First-principles (GGA-PBE) data for a relaxed structure of SmGa4Os, as listed in Alexandria via LeMat-Bulk.

The value obtained for the density of states at the Fermi level is 1.71 states/eV/f.u. For the size of the total moment, the calculation gives 0.00 Bohr magnetons per cell. The formation energy is -0.4287 eV per atom. Its total energy is -5.10 eV per atom. The value obtained for the energy above the most stable polymorph in this dataset is 0 kJ/mol of formula units. As for the crystal system: orthorhombic.

The structure belongs to space group Pmma (No. 51); the cell edges are 7.7431, 4.1280 and 7.0438 Å and the angles 90.00°, 90.00° and 90.00°. The inequivalent atoms are Sm at (0.2500, 0.0000, 0.1318), Ga at (0.0000, 0.0000, 0.5000), Ga at (0.0666, 0.5000, 0.8243), Ga at (0.2500, 0.5000, 0.4565) and Os at (0.2500, 0.0000, 0.7018).


First-principles (GGA-PBE) data for a relaxed structure of ZnCo2Ni9, as listed in Alexandria via LeMat-Bulk.

The value obtained for the density of states at the Fermi level is 14.13 states/eV/f.u. For the size of the total moment, the calculation gives 8.90 Bohr magnetons per cell. The formation energy is -0.0364 eV per atom. Its total energy is -5.66 eV per atom. As for the crystal system: tetragonal.

The structure belongs to space group P4/mmm (No. 123); the cell edges are 3.5316, 3.5316 and 10.6021 Å and the angles 90.00°, 90.00° and 90.00°. The inequivalent atoms are Zn at (0.0000, 0.0000, 0.0000), Co at (0.0000, 0.0000, 0.3330), Ni at (0.0000, 0.5000, 0.1723), Ni at (0.0000, 0.5000, 0.5000), Ni at (0.5000, 0.5000, 0.0000) and Ni at (0.5000, 0.5000, 0.3360).